# Ba3Mg4

A geometry-optimized Ba3Mg4 structure (PBEsol, Alexandria).

Its energy of formation is 10 meV/atom.

The space group is I4/mmm (No. 139) and the conventional cell measures 4.009, 4.009 and 32.439 Å, with angles of 90.00, 90.00 and 90.00 degrees. The asymmetric unit holds Ba at (0.000, 0.000, 0.000), Ba at (0.000, 0.000, 0.305), Mg at (0.000, 0.000, 0.120) and Mg at (0.000, 0.000, 0.424).